(1)
The following is a DFT calculation (GGA-PBE) of a relaxed Li3SmBi2S6 crystal.

Its raw formation energy is -13.158 eV per formula unit. The total energy is -4.679 eV per atom. The crystal system is monoclinic.

abc: 6.9097 12.0018 6.6879
angles: 90.00 109.93 90.00
Space group C2/m (No. 12)
One atom of each set of equivalent atoms:
Li (0.0000, 0.0000, 0.0000)
Li (0.0000, 0.3210, 0.0000)
Sm (0.0000, 0.5000, 0.5000)
Bi (0.0000, 0.1655, 0.5000)
S (0.2471, 0.5000, 0.2410)
S (0.2484, 0.1655, 0.2402)


(2)
The following is a DFT calculation (GGA-PBE) of a relaxed Ac2SnBPt6 crystal.

The energy relative to the elements is -0.8272 eV per atom. The total energy is -6.341 eV per atom. The crystal system is monoclinic.

abc: 12.0405 5.8269 7.3325
angles: 90.00 125.72 90.00
Space group Cm (No. 8)
One atom of each set of equivalent atoms:
Ac (0.0000, 0.0000, 0.0000)
Ac (0.0474, 0.5000, 0.6228)
Sn (0.2997, 0.0000, 0.8496)
B (0.3425, 0.5000, 0.4115)
Pt (0.0356, 0.0000, 0.4642)
Pt (0.0695, 0.5000, 0.0778)
Pt (0.2495, 0.2507, 0.4961)
Pt (0.2921, 0.2425, 0.1515)


(3)
The following is a DFT calculation (GGA-PBE) of a relaxed Eu2PtAu crystal.

The energy relative to the elements is -0.8571 eV per atom. The total energy is -8.324 eV per atom. The crystal system is tetragonal.

abc: 3.6440 3.6440 7.4220
angles: 90.00 90.00 90.00
Space group P4/mmm (No. 123)
One atom of each set of equivalent atoms:
Eu (0.0000, 0.0000, 0.2354)
Pt (0.5000, 0.5000, 0.0000)
Au (0.5000, 0.5000, 0.5000)


(4)
The following is a DFT calculation (GGA-PBE) of a relaxed Ba2BeNi crystal.

The energy relative to the elements is 0.5618 eV per atom. The total energy is -2.776 eV per atom. The crystal system is monoclinic.

abc: 7.7563 4.4624 8.3620
angles: 90.00 107.91 90.00
Space group C2/m (No. 12)
One atom of each set of equivalent atoms:
Ba (0.2411, 0.0000, 0.2241)
Be (0.0000, 0.0000, 0.5000)
Ni (0.0000, 0.5000, 0.0000)


Question: Among the records above, which one has the lowest total energy?
Answer: Eu2PtAu